! Zn2Cd8In PBE optimized geometry; values from VASP
&SYSTEM
  ibrav = 0, nat = 11, ntyp = 3
/
ATOMIC_SPECIES
Zn 65.41 Zn.upf
Cd 112.41 Cd.upf
In 114.82 In.upf
CELL_PARAMETERS angstrom
4.238 -6.232 0.000
4.238 6.232 0.000
-1.685 0.000 4.793
ATOMIC_POSITIONS crystal
Zn 0.186 0.814 0.000
Zn 0.814 0.186 0.000
Cd 0.118 0.118 0.318
Cd 0.176 0.420 0.883
Cd 0.259 0.741 0.500
Cd 0.420 0.176 0.883
Cd 0.580 0.824 0.117
Cd 0.741 0.259 0.500
Cd 0.824 0.580 0.117
Cd 0.882 0.882 0.682
In 0.500 0.500 0.500
! N(E_F), states/eV/cell: 5.12
! Raw total energy, eV per atom: -1.0621
! ΔH_f (0 K), meV per atom: 84